# VAgF2 GGA+U relaxed
data_VAgF2
_cell_length_a 3.1679
_cell_length_b 3.1679
_cell_length_c 26.4828
_cell_angle_alpha 90.00
_cell_angle_beta 90.00
_cell_angle_gamma 120.00
_space_group_name_H-M_alt 'R -3 m'
_space_group_IT_number 166
_space_group_name_Hall '-R 3 2"'
loop_
_atom_site_label
_atom_site_type_symbol
_atom_site_fract_x
_atom_site_fract_y
_atom_site_fract_z
_atom_site_occupancy
V1 V 0.0000 0.0000 0.0000 1
Ag1 Ag 0.0000 0.0000 0.5000 1
F1 F 0.0000 0.0000 0.3729 1
# **ΔE to the lowest computed polymorph**: 0.0 kJ per mole of atoms
# **N(E_F)**: 3.172 states/eV/f.u.
# **E_tot**: -62.72 eV/cell